# PBE CeSm2Mn, relaxed
data_CeSm2Mn
_symmetry_space_group_name_H-M 'R -3 m'
_symmetry_Int_Tables_number 166
_symmetry_space_group_name_Hall '-R 3 2"'
_cell_length_a 3.3725
_cell_length_b 3.3725
_cell_length_c 34.4036
_cell_angle_alpha 90.00
_cell_angle_beta 90.00
_cell_angle_gamma 120.00
loop_
_atom_site_label
_atom_site_type_symbol
_atom_site_fract_x
_atom_site_fract_y
_atom_site_fract_z
Ce1 Ce 0.0000 0.0000 0.0000
Sm1 Sm 0.0000 0.0000 0.4174
Mn1 Mn 0.0000 0.0000 0.5000
# ΔH_f (0 K)	0.5445	eV/atom
# energy above the most stable polymorph in this dataset	1.38	eV/f.u.
# magnetic moment	3.857	μB per formula unit
# VASP energy	-5.591	eV per atom